Density functional theory data (GGA-PBE) for a relaxed Hg2POs crystal.

Properties
The energy of formation from the pure elements is 93.2 kJ per mole of atoms.

abc: 5.4441 5.4441 5.4441
angles: 143.21 132.01 61.96
With the nearest neighbours (Å) after each atom.
Fractional coordinates of all 4 atoms:
Os (0.0000, 0.5000, 0.5000)  4 P 2.80, 8 Hg 2.99-3.13
P (0.5000, 0.0000, 0.5000)  4 Os 2.80, 4 Hg 2.80
Hg (0.7373, 0.7373, 0.0000)  2 P 2.80, 4 Hg 2.81, 4 Os 2.99-3.13
Hg (0.2627, 0.2627, 0.0000)  2 P 2.80, 4 Hg 2.81, 4 Os 2.99-3.13